VASP calculation (GGA+U) on WO2F after structural relaxation.

Results
E ... -5.85 eV per atom
ΔE to the lowest computed polymorph ... 1086.7 meV per atom
Total magnetic moment ... 1.0 μB per formula unit
Volume ... 35 Å³/cell
D(E_F) ... 1.5 states/eV/f.u.
Space-group type ... No. 225

abc: 3.662 3.662 3.662
angles: 60.00 60.00 60.00
Last column: magnetic moment on the atom in μB.
Atoms (fractional coordinates):
O (0.250, 0.250, 0.250)  -0.08
O (0.750, 0.750, 0.750)  -0.08
W (0.500, 0.500, 0.500)  1.21
F (0.000, 0.000, 0.000)  -0.13